Hf8CoRh2 | GGA-PBE | relaxed

Structure (POSCAR):
```
Hf8CoRh2
1.0
8.2189 -2.3457 0.0000
8.2189 2.3457 0.0000
-1.9723 0.0000 5.6416
Hf Co Rh
8 1 2
direct
0.0210 0.0210 0.2721
0.2039 0.2039 0.8393
0.3327 0.3327 0.4926
0.4096 0.4096 0.0357
0.5904 0.5904 0.9643
0.6673 0.6673 0.5074
0.7961 0.7961 0.1607
0.9790 0.9790 0.7279
0.5000 0.5000 0.5000
0.1691 0.1691 0.2396
0.8309 0.8309 0.7604
```

Symmetry: C2/m
Energy relative to the elements (meV per atom): -313

La2Nd4Tm5 | GGA-PBE | relaxed

Structure (POSCAR):
```
La2Nd4Tm5
1.0
-1.7678 5.8411 9.2146
1.7678 -5.8411 9.2146
1.7678 5.8411 -9.2146
La Nd Tm
2 4 5
direct
0.2003 0.2003 0.0000
0.7997 0.7997 0.0000
0.2638 0.0000 0.2638
0.4078 0.4078 0.0000
0.5922 0.5922 0.0000
0.7362 0.0000 0.7362
0.0000 0.5000 0.5000
0.1102 0.8200 0.2902
0.4703 0.1800 0.2902
0.5297 0.8200 0.7098
0.8898 0.1800 0.7098
```

Symmetry: Immm
ΔE to the lowest computed polymorph (meV per atom): 136
Energy relative to the elements (meV per atom): 214

| no. | density of states at the Fermi level (states/eV/f.u.) | magnetic moment (μB/atom) |
| --- | --- | --- |
| 1 | 9.6 | 0.042 |
| 2 | 14.2 | 0.000 |